No. 1
Density functional theory data (PBE-GGA) for BaCrBr3 after structural relaxation.

For the raw formation energy, the calculation gives -1122 meV per atom. As for the total moment: 4.8 μB per formula unit. As for the density of states at the Fermi level: 2.1 states/eV/f.u. The value obtained for the total energy is -4.435 eV/atom.

Cell lengths 5.3680, 5.3680, 5.3680 Å; angles 90.00, 90.00, 90.00 degrees
Closest atoms and distances in Å follow each position.
Fractional positions:
Br 0.0000 0.0000 0.5000  2 Cr 2.68
Br 0.0000 0.5000 0.0000  2 Cr 2.68
Br 0.5000 0.0000 0.0000  2 Cr 2.68
Ba 0.5000 0.5000 0.5000  12 Br 3.80
Cr 0.0000 0.0000 0.0000  6 Br 2.68

No. 2
Density functional theory data (PBE-GGA) for Ba4CrBr after structural relaxation.

For the raw formation energy, the calculation gives 459 meV per atom. As for the total moment: 5.0 μB per formula unit. As for the density of states at the Fermi level: 8.9 states/eV/f.u. The value obtained for the total energy is -2.705 eV/atom.

Cell lengths 7.5583, 7.5583, 7.5583 Å; angles 60.00, 60.00, 60.00 degrees
Closest atoms and distances in Å follow each position.
Fractional positions:
Br 0.7500 0.7500 0.7500  12 Ba 4.43, 4 Cr 4.63
Ba 0.8753 0.3749 0.3749  6 Ba 3.78
Ba 0.3749 0.3749 0.8753  6 Ba 3.78
Cr 0.0000 0.0000 0.0000  12 Ba 4.43, 4 Br 4.63
Ba 0.3749 0.3749 0.3749  6 Ba 3.78
Ba 0.3749 0.8753 0.3749  6 Ba 3.78

No. 3
Density functional theory data (PBE-GGA) for Ba3Cr5Br12 after structural relaxation.

For the raw formation energy, the calculation gives -1038 meV per atom. As for the total moment: 24.0 μB per formula unit. As for the density of states at the Fermi level: 10.8 states/eV/f.u. The value obtained for the total energy is -4.735 eV/atom.

Cell lengths 15.0150, 15.0150, 15.0150 Å; angles 109.47, 109.47, 109.47 degrees
Closest atoms and distances in Å follow each position.
Fractional positions:
Br 0.9134 0.8226 0.7952  2 Cr 2.62-2.79
Br 0.7952 0.4726 0.3818  2 Cr 2.62-2.79
Br 0.9726 0.5908 0.1774  2 Cr 2.62-2.79
Br 0.1774 0.0908 0.9726  2 Cr 2.62-2.79
Cr 0.3750 0.2500 0.1250  4 Br 2.62
Cr 0.1250 0.3750 0.2500  4 Br 2.62
Br 0.5866 0.7048 0.6774  2 Cr 2.62-2.79
Br 0.0908 0.9134 0.1182  2 Cr 2.62-2.79
Br 0.5908 0.9726 0.6774  2 Cr 2.62-2.79
Cr 0.2500 0.3750 0.6250  4 Br 2.62
Ba 0.1250 0.8750 0.7500  8 Br 3.36-3.41
Br 0.3226 0.5274 0.4092  2 Cr 2.62-2.79
Br 0.1182 0.4134 0.0908  2 Cr 2.62-2.79
Br 0.2048 0.5274 0.6182  2 Cr 2.62-2.79
Br 0.5274 0.2048 0.1182  2 Cr 2.62-2.79
Ba 0.8750 0.1250 0.2500  8 Br 3.36-3.41
Cr 0.0000 0.0000 0.0000  6 Br 2.79
Cr 0.8750 0.2500 0.6250  4 Br 2.62
Br 0.8226 0.9092 0.0274  2 Cr 2.62-2.79
Cr 0.0000 0.5000 0.0000  6 Br 2.79
Ba 0.8750 0.7500 0.1250  8 Br 3.36-3.41
Br 0.4092 0.0274 0.3226  2 Cr 2.62-2.79
Ba 0.1250 0.2500 0.8750  8 Br 3.36-3.41
Ba 0.2500 0.1250 0.3750  8 Br 3.36-3.41
Ba 0.6250 0.2500 0.3750  8 Br 3.36-3.41
Br 0.1774 0.0866 0.7048  2 Cr 2.62-2.79
Br 0.8818 0.2952 0.4726  2 Cr 2.62-2.79
Cr 0.8750 0.6250 0.7500  4 Br 2.62
Cr 0.0000 0.0000 0.5000  6 Br 2.79
Br 0.2952 0.8818 0.9726  2 Cr 2.62-2.79
Ba 0.7500 0.3750 0.1250  8 Br 3.36-3.41
Br 0.9726 0.3818 0.2952  2 Cr 2.62-2.79
Br 0.2952 0.4134 0.8226  2 Cr 2.62-2.79
Cr 0.3750 0.1250 0.7500  4 Br 2.62
Br 0.9092 0.8226 0.5274  2 Cr 2.62-2.79
Cr 0.2500 0.8750 0.1250  4 Br 2.62
Br 0.4726 0.7952 0.8818  2 Cr 2.62-2.79
Cr 0.6250 0.8750 0.2500  4 Br 2.62
Br 0.8226 0.9134 0.2952  2 Cr 2.62-2.79
Br 0.3818 0.4092 0.0866  2 Cr 2.62-2.79
Br 0.7048 0.5866 0.1774  2 Cr 2.62-2.79
Br 0.4092 0.3818 0.5866  2 Cr 2.62-2.79
Br 0.5274 0.3226 0.9092  2 Cr 2.62-2.79
Br 0.5866 0.8818 0.4092  2 Cr 2.62-2.79
Cr 0.5000 0.0000 0.0000  6 Br 2.79
Br 0.7952 0.3226 0.9134  2 Cr 2.62-2.79
Br 0.6182 0.5908 0.9134  2 Cr 2.62-2.79
Br 0.6774 0.2048 0.5866  2 Cr 2.62-2.79
Cr 0.1250 0.7500 0.3750  4 Br 2.62
Ba 0.2500 0.6250 0.8750  8 Br 3.36-3.41
Br 0.0908 0.1774 0.4726  2 Cr 2.62-2.79
Br 0.3226 0.7952 0.4134  2 Cr 2.62-2.79
Ba 0.7500 0.8750 0.6250  8 Br 3.36-3.41
Ba 0.3750 0.6250 0.2500  8 Br 3.36-3.41
Cr 0.7500 0.1250 0.8750  4 Br 2.62
Br 0.4134 0.2952 0.3226  2 Cr 2.62-2.79
Cr 0.7500 0.6250 0.3750  4 Br 2.62
Br 0.9134 0.0908 0.6182  2 Cr 2.62-2.79
Ba 0.6250 0.3750 0.7500  8 Br 3.36-3.41
Br 0.7048 0.1182 0.0274  2 Cr 2.62-2.79
Br 0.6774 0.4726 0.5908  2 Cr 2.62-2.79
Cr 0.0000 0.5000 0.5000  6 Br 2.79
Br 0.4134 0.1182 0.5908  2 Cr 2.62-2.79
Cr 0.5000 0.0000 0.5000  6 Br 2.79
Br 0.3818 0.9726 0.7952  2 Cr 2.62-2.79
Br 0.0274 0.6182 0.7048  2 Cr 2.62-2.79
Cr 0.6250 0.7500 0.8750  4 Br 2.62
Br 0.0866 0.1774 0.2048  2 Cr 2.62-2.79
Br 0.2048 0.6774 0.0866  2 Cr 2.62-2.79
Cr 0.5000 0.5000 0.5000  6 Br 2.79
Br 0.6182 0.0274 0.2048  2 Cr 2.62-2.79
Br 0.4726 0.6774 0.0908  2 Cr 2.62-2.79
Br 0.0274 0.4092 0.8226  2 Cr 2.62-2.79
Br 0.5908 0.6182 0.4134  2 Cr 2.62-2.79
Br 0.8818 0.5866 0.9092  2 Cr 2.62-2.79
Ba 0.3750 0.7500 0.6250  8 Br 3.36-3.41
Br 0.9092 0.0866 0.8818  2 Cr 2.62-2.79
Br 0.1182 0.7048 0.5274  2 Cr 2.62-2.79
Cr 0.5000 0.5000 0.0000  6 Br 2.79
Br 0.0866 0.9092 0.3818  2 Cr 2.62-2.79

No. 4
Density functional theory data (PBE-GGA) for Ba2CrBr6 after structural relaxation.

For the raw formation energy, the calculation gives -1678 meV per atom. As for the total moment: 4.0 μB per formula unit. The value obtained for the total energy is -4.290 eV/atom.

Cell lengths 6.9917, 8.7399, 10.1178 Å; angles 90.00, 89.01, 90.00 degrees
Closest atoms and distances in Å follow each position.
Fractional positions:
Ba 0.0479 0.6154 0.7375  8 Br 3.31-3.51
Br 0.0957 0.0208 0.2574  1 Cr 2.54
Cr 0.5000 0.5000 0.0000  4 Br 2.54-2.57
Br 0.1895 0.3525 0.9550  1 Cr 2.57
Br 0.8105 0.6475 0.0450  1 Cr 2.57
Br 0.1672 0.3146 0.5555  1 Cr 3.04, 3 Ba 3.31-3.40
Br 0.9043 0.9792 0.7426  1 Cr 2.54
Br 0.3328 0.8146 0.9445  1 Cr 3.04, 3 Ba 3.31-3.40
Br 0.4043 0.5208 0.2426  1 Cr 2.54
Br 0.6895 0.1475 0.4550  1 Cr 2.57
Br 0.8328 0.6854 0.4445  1 Cr 3.04, 3 Ba 3.31-3.40
Br 0.6672 0.1854 0.0555  1 Cr 3.04, 3 Ba 3.31-3.40
Cr 0.0000 0.0000 0.5000  4 Br 2.54-2.57
Ba 0.9521 0.3846 0.2625  8 Br 3.31-3.51
Ba 0.5479 0.8846 0.2375  8 Br 3.31-3.51
Br 0.3105 0.8525 0.5450  1 Cr 2.57
Br 0.5957 0.4792 0.7574  1 Cr 2.54
Ba 0.4521 0.1154 0.7625  8 Br 3.31-3.51

No. 5
Density functional theory data (PBE-GGA) for CsBa2CrBr8 after structural relaxation.

For the raw formation energy, the calculation gives -1600 meV per atom. As for the total moment: 3.0 μB per formula unit. The value obtained for the total energy is -3.909 eV/atom.

Cell lengths 6.6144, 7.5718, 9.9414 Å; angles 94.28, 85.46, 114.33 degrees
Closest atoms and distances in Å follow each position.
Fractional positions:
Br 0.9351 0.1993 0.8286  1 Cr 2.53
Br 0.4127 0.1934 0.9554  1 Cr 2.53
Br 0.9950 0.7473 0.8112  1 Cr 2.57
Br 0.0649 0.8007 0.1714  1 Cr 2.53
Cs 0.0000 0.0000 0.5000  6 Br 3.56-3.75
Br 0.0050 0.2527 0.1888  1 Cr 2.57
Br 0.5985 0.3031 0.5287  2 Ba 3.23-3.27
Cr 0.0000 0.0000 0.0000  6 Br 2.53-2.57
Br 0.4015 0.6969 0.4713  2 Ba 3.23-3.27
Ba 0.5721 0.4534 0.2381  6 Br 3.23-3.48
Ba 0.4279 0.5466 0.7619  6 Br 3.23-3.48
Br 0.5873 0.8066 0.0446  1 Cr 2.53

No. 6
Density functional theory data (PBE-GGA) for Cs2BaCrBr6 after structural relaxation.

For the raw formation energy, the calculation gives -1531 meV per atom. As for the total moment: 4.0 μB per formula unit. As for the density of states at the Fermi level: 5.9 states/eV/f.u. The value obtained for the total energy is -3.860 eV/atom.

Cell lengths 7.7935, 7.9939, 7.9939 Å; angles 120.00, 90.00, 90.00 degrees
Closest atoms and distances in Å follow each position.
Fractional positions:
Br 0.2016 0.8406 0.1594  1 Cr 2.71
Cs 0.1551 0.3333 0.6667  9 Br 3.68-4.01
Br 0.7984 0.1594 0.8406  1 Cr 2.71
Ba 0.5000 0.0000 0.0000  6 Br 3.21
Cs 0.8449 0.6667 0.3333  9 Br 3.68-4.01
Cr 0.0000 0.0000 0.0000  6 Br 2.71
Br 0.2016 0.3188 0.1594  1 Cr 2.71
Br 0.7984 0.6812 0.8406  1 Cr 2.71
Br 0.2016 0.8406 0.6812  1 Cr 2.71
Br 0.7984 0.1594 0.3188  1 Cr 2.71